Record 1
Entry from Alexandria: a relaxed BeTcIN2 crystal (GGA-PBEsol).

```
BeTcIN2
1.0
-3.015 -0.285 2.263
-1.252 -2.929 -2.037
2.845 -3.541 3.344
I Be Tc N
1 1 1 2
Cartesian
1.422 -1.770 1.672
-0.711 -3.377 1.785
0.000 0.000 0.000
-0.626 -1.465 -1.018
-1.508 -0.143 1.132
```

Computed properties:
**V**: 80.6 Å³/cell
**Spin magnetization**: 0.0 μB per formula unit
**Formation energy from raw total energies**: 0.773 eV per atom
**Raw total energy**: -6.044 eV/atom

=====

Record 2
Entry from Alexandria: a relaxed CdTcOs2 crystal (GGA-PBEsol).

```
CdTcOs2
1.0
2.709 -0.001 0.000
-1.238 2.409 0.000
0.000 0.000 9.366
Cd Os Tc
1 2 1
Cartesian
0.735 1.204 0.000
0.000 0.000 2.496
0.000 0.000 6.869
0.735 1.204 4.683
```

Computed properties:
**V**: 61.1 Å³/cell
**Spin magnetization**: 0.0 μB per formula unit
**Raw total energy**: -8.658 eV/atom

=====

Record 3
Entry from Alexandria: a relaxed LiPtSe2 crystal (GGA-PBEsol).

```
LiPtSe2
1.0
-1.258 -3.911 -1.945
-2.165 -3.161 2.446
-4.400 -0.845 -0.764
Li Pt Se
1 1 2
Cartesian
-3.912 -3.959 -0.132
-5.868 -5.938 -0.198
0.000 0.000 0.000
-1.956 -1.979 -0.066
```

Computed properties:
**V**: 66.4 Å³/cell
**Spin magnetization**: 0.0 μB per formula unit
**Formation energy from raw total energies**: 0.080 eV per atom
**Raw total energy**: -4.077 eV/atom

=====

Record 4
Entry from Alexandria: a relaxed Cs3RbSe crystal (GGA-PBEsol).

```
Cs3RbSe
1.0
-6.099 -1.207 -3.355
-2.699 -2.781 5.907
-2.330 6.381 1.940
Cs Se Rb
3 1 1
Cartesian
-1.350 -1.391 2.953
-1.165 3.190 0.970
-3.049 -0.604 -1.678
0.000 0.000 0.000
-5.564 1.196 2.245
```

Computed properties:
**V**: 352.6 Å³/cell
**Spin magnetization**: 0.0 μB per formula unit
**Formation energy from raw total energies**: -0.564 eV per atom
**Raw total energy**: -2.104 eV/atom

=====

Record 5
Entry from Alexandria: a relaxed BeSiOs2 crystal (GGA-PBEsol).

```
BeSiOs2
1.0
-3.306 -1.914 -1.345
-2.757 -1.371 2.630
-3.622 1.793 0.255
Be Si Os
1 1 2
Cartesian
-4.842 -0.746 0.770
0.000 0.000 0.000
-2.421 -0.373 0.385
-7.264 -1.119 1.155
```

Computed properties:
**V**: 47.0 Å³/cell
**Spin magnetization**: 0.0 μB per formula unit
**Formation energy from raw total energies**: -0.333 eV per atom
**Raw total energy**: -8.878 eV/atom

=====

Record 6
Entry from Alexandria: a relaxed Lu2InNi2 crystal (GGA-PBEsol).

```
Lu2InNi2
1.0
3.481 0.000 0.000
0.000 7.192 0.000
0.000 0.000 7.192
Ni Lu In
4 4 2
Cartesian
0.000 2.730 6.326
0.000 6.326 4.462
0.000 4.462 0.866
0.000 0.866 2.730
1.741 1.246 4.842
1.741 2.350 1.246
1.741 4.842 5.946
1.741 5.946 2.350
0.000 0.000 0.000
0.000 3.596 3.596
```

Computed properties:
**V**: 180.1 Å³/cell
**Spin magnetization**: 0.0 μB per formula unit
**Raw total energy**: -5.573 eV/atom

=====

Q: Among the records above, which one has the highest V?
A: Cs3RbSe